(1)
Here is an optimized crystal structure of Ga2SbH from the Alexandria database. Energies are from PBE.

Calculated values
crystal system = trigonal
distance to the lowest polymorph of the same formula = 0 meV/atom

a b c (Å): 4.5140 4.5140 17.6453
angles (deg): 90.00 90.00 120.00
Space group R-3m (No. 166, hexagonal axes)
Symmetry-distinct sites (fractional):
Ga 0.0000 0.0000 0.1008 (multiplicity 6)
Sb 0.0000 0.0000 0.5000 (multiplicity 3)
H 0.0000 0.0000 0.0000 (multiplicity 3)


(2)
Here is an optimized crystal structure of Mg3Pd5 from the Alexandria database. Energies are from PBE.

Calculated values
crystal system = orthorhombic
raw total energy = -4.487 eV per atom

a b c (Å): 7.154 8.407 4.215
angles (deg): 90.00 90.00 90.00
Space group Cmmm (No. 65)
Symmetry-distinct sites (fractional):
Mg 0.000 0.000 0.000 (multiplicity 2)
Mg 0.000 0.278 0.500 (multiplicity 4)
Pd 0.000 0.500 0.000 (multiplicity 2)
Pd 0.223 0.000 0.500 (multiplicity 4)
Pd 0.250 0.250 0.000 (multiplicity 4)


(3)
Here is an optimized crystal structure of Cs2Hg2PdBr4 from the Alexandria database. Energies are from PBE.

Calculated values
crystal system = tetragonal
raw total energy = -2.497 eV per atom

a b c (Å): 8.186 8.186 9.846
angles (deg): 90.00 90.00 90.00
Space group I4/mmm (No. 139)
Symmetry-distinct sites (fractional):
Cs 0.000 0.500 0.250 (multiplicity 4)
Hg 0.000 0.000 0.177 (multiplicity 4)
Pd 0.000 0.000 0.500 (multiplicity 2)
Br 0.216 0.216 0.500 (multiplicity 8)